ZrTl3Se | PBE | optimized geometry

Cell lengths 5.5816, 5.5816, 5.5816 Å; angles 90.00, 90.00, 90.00 degrees
Last column: nearest neighbours and their distance in Å.
Element x y z (fractional)
Tl1 0.0000 0.5000 0.0000  2 Se 2.79
Tl2 0.0000 0.0000 0.5000  2 Se 2.79
Tl3 0.5000 0.0000 0.0000  2 Se 2.79
Se1 0.0000 0.0000 0.0000  6 Tl 2.79
Zr1 0.5000 0.5000 0.5000  12 Tl 3.95

Summary:
Space-group type: No. 221
Volume in A^3/atom: 34.779
Formation energy from raw total energies in eV per formula unit: 4.0
Polymorph energy (0 for the lowest one) in meV per atom: 189
Total energy in eV per atom: -3.02